[1]
Cs2NaTcSe6 | GGA-PBE | relaxed

SG   R3m, No. 160

Lattice parameters (Å, degrees): 7.722 7.722 7.722 57.81 57.81 57.81
Last column: magnetic moment on the atom in μB.
Element x y z (fractional)
Se1 0.236 0.740 0.740  0.00
Se2 0.289 0.680 0.289  0.03
Se3 0.740 0.740 0.236  0.02
Se4 0.740 0.236 0.740  0.03
Se5 0.289 0.289 0.680  0.04
Se6 0.680 0.289 0.289  0.03
Na1 0.015 0.015 0.015  0.00
Cs1 0.240 0.240 0.240  0.00
Cs2 0.742 0.742 0.742  0.00
Tc1 0.527 0.527 0.527  0.42

---

[2]
Na2AlIrO6 | GGA-PBE | relaxed

SG   Fm-3m, No. 225

Lattice parameters (Å, degrees): 5.305 5.305 5.305 60.00 60.00 60.00
Element x y z (fractional)
Na1 0.250 0.250 0.250
Na2 0.750 0.750 0.750
Ir1 0.500 0.500 0.500
O1 0.753 0.247 0.753
O2 0.753 0.247 0.247
O3 0.753 0.753 0.247
O4 0.247 0.247 0.753
O5 0.247 0.753 0.247
O6 0.247 0.753 0.753
Al1 0.000 0.000 0.000

---

[3]
TaCuSnHg | GGA-PBE | relaxed

SG   F-43m, No. 216

Lattice parameters (Å, degrees): 4.762 4.762 4.762 60.00 60.00 60.00
Element x y z (fractional)
Cu1 0.750 0.750 0.750
Sn1 0.000 0.000 0.000
Ta1 0.250 0.250 0.250
Hg1 0.500 0.500 0.500

---

[4]
LaZn2Pd2 | GGA-PBE | relaxed

SG   I4/mmm, No. 139
ΔE_f   -3.3 eV/f.u.

Lattice parameters (Å, degrees): 6.623 6.623 6.623 144.20 144.20 51.53
Element x y z (fractional)
La1 0.000 0.000 0.000
Zn1 0.250 0.750 0.500
Zn2 0.750 0.250 0.500
Pd1 0.614 0.614 0.000
Pd2 0.386 0.386 0.000

---

Number 1: spin magnetization 0.77 μB per formula unit, total DFT energy (no corrections) -3.88 eV per atom. Number 2: spin magnetization 0.09 μB per formula unit, total DFT energy (no corrections) -5.98 eV per atom. Number 3: spin magnetization 1.18 μB per formula unit, total DFT energy (no corrections) -4.43 eV per atom. Number 4: spin magnetization 0.00 μB per formula unit, total DFT energy (no corrections) -4.21 eV per atom.